(1)
## Pm2Ho4Er5 (PBE-GGA)

Data for a geometry-optimized Pm2Ho4Er5 structure.

The density of states at the Fermi level is 1.47 states/eV/atom. The space-group type is P-1 (2). As for the formation energy: 0.065 eV/atom. Its polymorph energy (0 for the lowest one) is 0 meV/atom.

a b c (Å): 3.653 9.157 10.827
angles (deg): 102.52 99.68 90.00
Positions (direct):
Pm: 0.115 0.005 0.228
Pm: 0.885 0.995 0.772
Ho: 0.171 0.419 0.342
Ho: 0.472 0.794 0.944
Ho: 0.528 0.206 0.056
Ho: 0.829 0.581 0.658
Er: 0.000 0.500 0.000
Er: 0.251 0.827 0.503
Er: 0.381 0.306 0.763
Er: 0.619 0.694 0.237
Er: 0.749 0.173 0.497

---

(2)
## SeBr (PBE-GGA)

Data for a geometry-optimized SeBr structure.

The density of states at the Fermi level is 0.81 states/eV/atom. The space-group type is I4/mmm (139). The value obtained for the energy relative to the elements, uncorrected is 0.442 eV per atom.

a b c (Å): 4.269 4.269 4.269
angles (deg): 110.93 110.93 106.59
Positions (direct):
Se: 0.000 0.000 0.000
Br: 0.500 0.500 0.000

---

(3)
## Y2CoC (PBE-GGA)

Data for a geometry-optimized Y2CoC structure.

The density of states at the Fermi level is 1.01 states/eV/atom. The space-group type is Immm (71). As for the formation energy: -0.274 eV/atom.

a b c (Å): 6.919 6.919 6.919
angles (deg): 150.12 149.58 43.17
Positions (direct):
Y: 0.130 0.130 0.000
Y: 0.870 0.870 0.000
Co: 0.500 0.500 0.000
C: 0.000 0.500 0.500

---

(4)
## PmEuAgRu (PBE-GGA)

Data for a geometry-optimized PmEuAgRu structure.

The density of states at the Fermi level is 2.90 states/eV/atom. The space-group type is F-43m (216). As for the formation energy: -0.095 eV/atom.

a b c (Å): 5.098 5.098 5.098
angles (deg): 60.00 60.00 60.00
Positions (direct):
Pm: 0.000 0.000 0.000
Eu: 0.500 0.500 0.500
Ag: 0.750 0.750 0.750
Ru: 0.250 0.250 0.250

---

(5)
## NbNiSnPd (PBE-GGA)

Data for a geometry-optimized NbNiSnPd structure.

The density of states at the Fermi level is 0.72 states/eV/atom. The space-group type is F-43m (216). As for the formation energy: -0.206 eV/atom.

a b c (Å): 4.523 4.523 4.523
angles (deg): 60.00 60.00 60.00
Positions (direct):
Nb: 0.000 0.000 0.000
Ni: 0.250 0.250 0.250
Sn: 0.500 0.500 0.500
Pd: 0.750 0.750 0.750

---

(6)
## NaUCuSe3 (PBE-GGA)

Data for a geometry-optimized NaUCuSe3 structure.

The density of states at the Fermi level is 1.00 states/eV/atom. The space-group type is P2_1/m (11). The value obtained for the energy relative to the elements, uncorrected is -0.958 eV per atom.

a b c (Å): 8.398 4.036 9.207
angles (deg): 90.00 104.64 90.00
Positions (direct):
Na: 0.199 0.250 0.252
Na: 0.801 0.750 0.748
U: 0.319 0.750 0.834
U: 0.681 0.250 0.166
Cu: 0.082 0.250 0.587
Cu: 0.918 0.750 0.413
Se: 0.092 0.250 0.857
Se: 0.227 0.750 0.522
Se: 0.437 0.750 0.158
Se: 0.563 0.250 0.842
Se: 0.773 0.250 0.478
Se: 0.908 0.750 0.143

---

(7)
## BeTc2 (PBE-GGA)

Data for a geometry-optimized BeTc2 structure.

The density of states at the Fermi level is 1.11 states/eV/atom. The space-group type is P6_3/mmc (194). As for the formation energy: 0.067 eV/atom. Its polymorph energy (0 for the lowest one) is 335 meV/atom.

a b c (Å): 4.214 4.214 4.936
angles (deg): 90.00 90.00 120.00
Positions (direct):
Be: 0.333 0.667 0.250
Be: 0.667 0.333 0.750
Tc: 0.000 0.000 0.000
Tc: 0.000 0.000 0.500
Tc: 0.333 0.667 0.750
Tc: 0.667 0.333 0.250

---

(8)
## TlPPt (PBE-GGA)

Data for a geometry-optimized TlPPt structure.

The density of states at the Fermi level is 0.30 states/eV/atom. The space-group type is I4mm (107). As for the formation energy: -0.090 eV/atom. Its polymorph energy (0 for the lowest one) is 71 meV/atom.

a b c (Å): 6.746 6.746 6.746
angles (deg): 152.36 152.36 39.49
Positions (direct):
Tl: 0.000 0.000 0.000
P: 0.733 0.733 0.000
Pt: 0.301 0.301 0.000

---

Repeat the third record exactly.
## Y2CoC (PBE-GGA)

Data for a geometry-optimized Y2CoC structure.

The density of states at the Fermi level is 1.01 states/eV/atom. The space-group type is Immm (71). As for the formation energy: -0.274 eV/atom.

a b c (Å): 6.919 6.919 6.919
angles (deg): 150.12 149.58 43.17
Positions (direct):
Y: 0.130 0.130 0.000
Y: 0.870 0.870 0.000
Co: 0.500 0.500 0.000
C: 0.000 0.500 0.500